{
  "formula": "Te2PbCI",
  "functional": "PBE",
  "state": "relaxed",
  "formation_energy_uncorrected_ev_per_atom": 0.819,
  "volume_a3_per_cell": 129,
  "dos_ef_per_ev_atom": 0.76,
  "energy_ev_per_atom": -3.334,
  "lattice": [[4.9445, 0.0000, 0.0000], [0.0000, 4.9445, 0.0000], [0.0000, 0.0000, 5.2601]],
  "species": ["Te", "Te", "Pb", "C", "I"],
  "fractional_positions": [[0.0000, 0.5000, 0.0000], [0.5000, 0.0000, 0.0000], [0.0000, 0.0000, 0.5000], [0.5000, 0.5000, 0.0000], [0.5000, 0.5000, 0.5000]]
}